Cs2BaCdSb | PBE-GGA | relaxed Values from VASP.

Computed properties:
E_form (uncorrected)	0.054	eV/atom
SG	P4/mmm (123)

```
&SYSTEM
  ibrav = 0, nat = 5, ntyp = 4
/
ATOMIC_SPECIES
Sb 121.76 Sb.upf
Ba 137.33 Ba.upf
Cs 132.91 Cs.upf
Cd 112.41 Cd.upf
ATOMIC_POSITIONS crystal
Sb 0.000 0.500 0.000
Ba 0.500 0.500 0.500
Cs 0.000 0.000 0.500
Cs 0.500 0.000 0.000
Cd 0.000 0.000 0.000
CELL_PARAMETERS angstrom
-3.378 6.379 -0.396
-0.165 -0.438 -5.658
-6.388 -3.355 0.446
```